Entry 1:
Density functional theory data (PBE-GGA) for a geometry-optimized Sm12Ga5H3 structure.

a = 16.6702 Å, b = 16.6702 Å, c = 16.6702 Å
α = 90.00°, β = 90.00°, γ = 90.00°
Closest atoms and distances in Å follow each position.
Space group Ia-3d (No. 230)
Symmetry-distinct sites (fractional):
Sm (0.0242, 0.0935, 0.6416)  1 H 2.65, 2 Ga 2.86-2.92
Ga (0.0000, 0.0000, 0.0000)  6 Sm 2.86
Ga (0.0000, 0.2500, 0.3750)  4 Sm 2.92
H (0.0000, 0.2500, 0.1250)  4 Sm 2.65

Calculated values
Calculated density   6.18 g/cm³
M_tot   0.0003 μB per atom
Uncorrected energy   -3.7925 eV/atom


Entry 2:
Density functional theory data (PBE-GGA) for a geometry-optimized CaBiRh structure.

a = 5.5368 Å, b = 4.5495 Å, c = 6.8594 Å
α = 90.00°, β = 106.47°, γ = 90.00°
Closest atoms and distances in Å follow each position.
Space group P2_1/m (No. 11)
Symmetry-distinct sites (fractional):
Ca (0.2131, 0.2500, 0.2070)  4 Rh 2.88-3.16
Bi (0.2641, 0.2500, 0.7109)  3 Rh 2.71-2.76
Rh (0.3450, 0.7500, 0.9346)  3 Bi 2.71-2.76, 2 Rh 2.84, 2 Ca 2.88-2.96

Calculated values
Calculated density   7.05 g/cm³
Formation energy   -507 meV per atom
M_tot   0.0000 μB per atom
Uncorrected energy   -4.9187 eV/atom


Entry 3:
Density functional theory data (PBE-GGA) for a geometry-optimized Lu4Ga2N structure.

a = 4.5188 Å, b = 4.5188 Å, c = 14.8636 Å
α = 90.00°, β = 90.00°, γ = 90.00°
Closest atoms and distances in Å follow each position.
Space group I4/mmm (No. 139)
Symmetry-distinct sites (fractional):
Lu (0.0000, 0.0000, 0.1690)  1 N 2.51
Lu (0.0000, 0.5000, 0.0000)  2 N 2.26
Ga (0.0000, 0.0000, 0.3656)  9 Lu 2.92-3.24
N (0.0000, 0.0000, 0.0000)  6 Lu 2.26-2.51

Calculated values
Calculated density   9.34 g/cm³
M_tot   0.0000 μB per atom
Energy relative to the elements, uncorrected   -834 meV per atom
Uncorrected energy   -5.4719 eV/atom


Entry 4:
Density functional theory data (PBE-GGA) for a geometry-optimized Li3Cd3Hg2 structure.

a = 3.8210 Å, b = 9.8881 Å, c = 17.1259 Å
α = 90.00°, β = 90.00°, γ = 90.00°
Closest atoms and distances in Å follow each position.
Space group Cmcm (No. 63)
Symmetry-distinct sites (fractional):
Li (0.0000, 0.0515, 0.0985)  1 Li 2.87, 4 Cd 2.96-3.00, 3 Hg 2.97-2.99
Li (0.0000, 0.1755, 0.2500)  4 Hg 2.71, 3 Cd 2.82-2.88, 2 Li 2.87
Cd (0.0000, 0.3597, 0.0261)  3 Cd 2.91-3.03, 4 Li 2.96-3.00, 3 Hg 3.01-3.25
Cd (0.0000, 0.4664, 0.2500)  3 Li 2.82-2.88
Hg (0.0000, 0.2371, 0.6499)  5 Li 2.71-2.99, 2 Cd 3.01

Calculated values
E above lowest polymorph   65.3 meV per atom
Calculated density   7.79 g/cm³
Formation energy   -189 meV per atom
M_tot   0.0000 μB per atom
Uncorrected energy   -1.3253 eV/atom


Entry 5:
Density functional theory data (PBE-GGA) for a geometry-optimized Ca5Ge6Pd6 structure.

a = 8.8331 Å, b = 8.8331 Å, c = 8.8331 Å
α = 90.00°, β = 90.00°, γ = 90.00°
Closest atoms and distances in Å follow each position.
Space group Im-3m (No. 229)
Symmetry-distinct sites (fractional):
Ca (0.0000, 0.0000, 0.0000)  6 Ge 3.06
Ca (0.2500, 0.2500, 0.2500)  6 Pd 3.12, 6 Ge 3.24
Ge (0.0000, 0.0000, 0.3463)  4 Pd 2.59, 1 Ge 2.72
Pd (0.0000, 0.2500, 0.5000)  4 Ge 2.59

Calculated values
Calculated density   6.14 g/cm³
Formation energy   -787 meV per atom
M_tot   0.0000 μB per atom
Uncorrected energy   -4.8384 eV/atom


Entry 6:
Density functional theory data (PBE-GGA) for a geometry-optimized ZrGaP structure.

a = 3.6513 Å, b = 6.2926 Å, c = 5.1059 Å
α = 90.00°, β = 90.00°, γ = 90.00°
Closest atoms and distances in Å follow each position.
Space group Pmn2_1 (No. 31)
Symmetry-distinct sites (fractional):
Zr (0.0000, 0.1294, 0.0000)  4 P 2.56-2.62
Ga (0.0000, 0.5439, 0.7148)  1 P 2.60
P (0.0000, 0.1694, 0.5019)  4 Zr 2.56-2.62, 1 Ga 2.60

Calculated values
E above lowest polymorph   52.5 meV per atom
Calculated density   5.43 g/cm³
Formation energy   -707 meV per atom
M_tot   0.0000 μB per atom
Uncorrected energy   -6.3684 eV/atom


Entry 7:
Density functional theory data (PBE-GGA) for a geometry-optimized TcRh2 structure.

a = 4.3285 Å, b = 4.3285 Å, c = 2.6746 Å
α = 90.00°, β = 90.00°, γ = 120.00°
Closest atoms and distances in Å follow each position.
Space group P6/mmm (No. 191)
Symmetry-distinct sites (fractional):
Tc (0.0000, 0.0000, 0.0000)  2 Tc 2.67, 12 Rh 2.83
Rh (0.3333, 0.6667, 0.5000)  5 Rh 2.50-2.67

Calculated values
E above lowest polymorph   257.8 meV per atom
Calculated density   11.62 g/cm³
Formation energy   112 meV per atom
M_tot   0.0002 μB per atom
Uncorrected energy   -8.2442 eV/atom


Entry 8:
Density functional theory data (PBE-GGA) for a geometry-optimized BaLi2Mg structure.

a = 7.0121 Å, b = 11.0931 Å, c = 3.6965 Å
α = 90.00°, β = 115.72°, γ = 90.00°
Closest atoms and distances in Å follow each position.
Space group C2/m (No. 12)
Symmetry-distinct sites (fractional):
Ba (0.0000, 0.0000, 0.0000)  4 Li 3.37, 2 Mg 3.51, 2 Ba 3.70
Li (0.2500, 0.2500, 0.5000)  2 Ba 3.37, 2 Mg 3.37, 4 Li 3.51-3.70
Mg (0.0000, 0.5000, 0.0000)  4 Li 3.37, 2 Ba 3.51, 2 Mg 3.70

Calculated values
Calculated density   2.25 g/cm³
Formation energy   175 meV per atom
M_tot   0.0000 μB per atom
Uncorrected energy   -1.6615 eV/atom


Entry 9:
Density functional theory data (PBE-GGA) for a geometry-optimized Nd8HgIr3I4 structure.

a = 8.5736 Å, b = 8.5736 Å, c = 24.3260 Å
α = 90.00°, β = 90.00°, γ = 120.00°
Closest atoms and distances in Å follow each position.
Space group R-3m (No. 166, hexagonal axes)
Symmetry-distinct sites (fractional):
Nd (0.0000, 0.0000, 0.2289)  3 Ir 2.90
Nd (0.0221, 0.5110, 0.7706)  2 Ir 2.84, 1 Hg 3.05
Hg (0.0000, 0.0000, 0.5000)  6 Nd 3.05
Ir (0.0000, 0.5000, 0.5000)  6 Nd 2.84-2.90
I (0.0000, 0.0000, 0.0000)  6 Nd 3.43
I (0.0000, 0.5000, 0.0000)  6 Nd 3.55-3.60

Calculated values
Calculated density   7.85 g/cm³
M_tot   0.0000 μB per atom
Energy relative to the elements, uncorrected   -879 meV per atom
Uncorrected energy   -5.3304 eV/atom


Entry 10:
Density functional theory data (PBE-GGA) for a geometry-optimized BiPIrSN structure.

a = 12.3344 Å, b = 3.6291 Å, c = 4.2751 Å
α = 90.00°, β = 101.85°, γ = 90.00°
Closest atoms and distances in Å follow each position.
Space group Cm (No. 8)
Symmetry-distinct sites (fractional):
Bi (0.0000, 0.0000, 0.0000)  2 S 2.66, 1 Ir 2.73
P (0.2166, 0.5000, 0.5690)  1 N 1.59
Ir (0.2220, 0.0000, 0.2586)  2 P 2.26, 2 N 2.26, 1 S 2.46
S (0.4257, 0.0000, 0.3591)  1 Ir 2.46, 2 Bi 2.66
N (0.2127, 0.5000, 0.9381)  1 P 1.59

Calculated values
E above lowest polymorph   53.4 meV per atom
Calculated density   8.48 g/cm³
M_tot   0.0000 μB per atom
Energy relative to the elements, uncorrected   -100 meV per atom
Uncorrected energy   -6.2214 eV/atom


Entry 11:
Density functional theory data (PBE-GGA) for a geometry-optimized NdY3In4 structure.

a = 10.7316 Å, b = 7.5723 Å, c = 5.3639 Å
α = 90.00°, β = 90.00°, γ = 90.00°
Closest atoms and distances in Å follow each position.
Space group Pmma (No. 51)
Symmetry-distinct sites (fractional):
Nd (0.0000, 0.0000, 0.0000)  8 In 3.31
Y (0.0000, 0.5000, 0.0000)  8 In 3.26
Y (0.2500, 0.0000, 0.4986)  8 In 3.31
Y (0.2500, 0.5000, 0.4985)  8 In 3.26
In (0.0000, 0.2560, 0.5000)  6 Y 3.26-3.31, 2 Nd 3.31
In (0.2500, 0.2559, 0.9982)  6 Y 3.26-3.31, 2 Nd 3.31

Calculated values
Calculated density   6.63 g/cm³
Formation energy   -497 meV per atom
M_tot   0.0000 μB per atom
Uncorrected energy   -4.8867 eV/atom


Entry 12:
Density functional theory data (PBE-GGA) for a geometry-optimized PmNiC structure.

a = 3.5740 Å, b = 3.5740 Å, c = 3.9287 Å
α = 90.00°, β = 90.00°, γ = 120.00°
Closest atoms and distances in Å follow each position.
Space group P-6m2 (No. 187)
Symmetry-distinct sites (fractional):
Pm (0.0000, 0.0000, 0.0000)  6 Ni 2.85, 6 C 2.85
Ni (0.6667, 0.3333, 0.5000)  3 C 2.06
C (0.3333, 0.6667, 0.5000)  3 Ni 2.06

Calculated values
E above lowest polymorph   270.0 meV per atom
Calculated density   8.24 g/cm³
Formation energy   -40 meV per atom
M_tot   0.0000 μB per atom
Uncorrected energy   -6.6248 eV/atom


Entry 13:
Density functional theory data (PBE-GGA) for a geometry-optimized Ca2Ho2Pd3 structure.

a = 4.8989 Å, b = 4.8989 Å, c = 24.8108 Å
α = 90.00°, β = 90.00°, γ = 120.00°
Closest atoms and distances in Å follow each position.
Space group R-3m (No. 166, hexagonal axes)
Symmetry-distinct sites (fractional):
Ca (0.0000, 0.0000, 0.1258)  5 Pd 3.10-3.30
Ho (0.0000, 0.0000, 0.3751)  7 Pd 2.89-3.01
Pd (0.0000, 0.0000, 0.0000)  6 Ho 3.01, 2 Ca 3.12
Pd (0.0000, 0.0000, 0.2587)  4 Ho 2.89-2.94, 3 Ca 3.10

Calculated values
Calculated density   7.05 g/cm³
Formation energy   -718 meV per atom
M_tot   0.0000 μB per atom
Uncorrected energy   -4.8234 eV/atom


Entry 14:
Density functional theory data (PBE-GGA) for a geometry-optimized Pm5PaRu4 structure.

a = 16.6117 Å, b = 4.4899 Å, c = 7.1404 Å
α = 90.00°, β = 106.61°, γ = 90.00°
Closest atoms and distances in Å follow each position.
Space group C2/m (No. 12)
Symmetry-distinct sites (fractional):
Pm (0.0000, 0.0000, 0.0000)  6 Ru 3.05-3.25
Pm (0.1686, 0.5000, 0.5415)  3 Ru 2.89-2.97
Pm (0.1697, 0.5000, 0.0437)  4 Ru 2.91-3.02
Pa (0.0000, 0.0000, 0.5000)  6 Ru 2.62-2.71
Ru (0.0073, 0.5000, 0.7157)  2 Pa 2.71, 2 Pm 2.97-3.02, 1 Ru 3.02
Ru (0.1439, 0.0000, 0.7729)  1 Pa 2.62, 4 Pm 2.89-2.91

Calculated values
Calculated density   8.85 g/cm³
Formation energy   -303 meV per atom
M_tot   0.0000 μB per atom
Uncorrected energy   -7.3381 eV/atom


Entry 15:
Density functional theory data (PBE-GGA) for a geometry-optimized Cs2Hg2Pt structure.

a = 13.5740 Å, b = 5.0023 Å, c = 13.1595 Å
α = 90.00°, β = 110.84°, γ = 90.00°
Closest atoms and distances in Å follow each position.
Space group C2/m (No. 12)
Symmetry-distinct sites (fractional):
Cs (0.0985, 0.0000, 0.3933)  4 Hg 3.59-3.96, 2 Pt 3.79
Cs (0.1940, 0.5000, 0.1188)  4 Pt 3.69-4.09, 7 Hg 3.78-3.96
Hg (0.0332, 0.0000, 0.8968)  2 Pt 2.74
Hg (0.1298, 0.5000, 0.6559)  1 Pt 2.73
Pt (0.0533, 0.5000, 0.8220)  3 Hg 2.73-2.74

Calculated values
E above lowest polymorph   0.0 meV per atom
Calculated density   6.86 g/cm³
Formation energy   -212 meV per atom
M_tot   0.0000 μB per atom
Uncorrected energy   -1.8821 eV/atom


Entry 16:
Density functional theory data (PBE-GGA) for a geometry-optimized La2ReBr structure.

a = 3.6760 Å, b = 5.6782 Å, c = 10.7094 Å
α = 90.00°, β = 90.00°, γ = 90.00°
Closest atoms and distances in Å follow each position.
Space group Cmm2 (No. 35)
Symmetry-distinct sites (fractional):
La (0.0000, 0.0000, 0.0000)  2 Re 2.71
La (0.0000, 0.5000, 0.3276)  2 Br 2.97
Re (0.0000, 0.5000, 0.8136)  2 La 2.71
Br (0.0000, 0.0000, 0.5449)  2 La 2.97

Calculated values
E above lowest polymorph   940.4 meV per atom
Calculated density   8.08 g/cm³
M_tot   0.0001 μB per atom
Energy relative to the elements, uncorrected   422 meV per atom
Uncorrected energy   -5.5716 eV/atom


Entry 17:
Density functional theory data (PBE-GGA) for a geometry-optimized Pm2Sn3Pd4 structure.

a = 6.2227 Å, b = 16.4652 Å, c = 7.5327 Å
α = 90.00°, β = 90.00°, γ = 90.00°
Closest atoms and distances in Å follow each position.
Space group Cmce (No. 64)
Symmetry-distinct sites (fractional):
Pm (0.0000, 0.1044, 0.0891)  5 Pd 3.05-3.33, 2 Sn 3.26
Sn (0.0000, 0.0000, 0.5000)  6 Pd 2.69-2.77
Sn (0.2500, 0.2376, 0.7500)  5 Pd 2.78-2.82, 2 Sn 3.11
Pd (0.0000, 0.1683, 0.4839)  5 Sn 2.77-2.82, 2 Pd 3.03
Pd (0.2500, 0.0681, 0.7500)  3 Sn 2.69-2.79

Calculated values
Calculated density   9.22 g/cm³
Formation energy   -773 meV per atom
M_tot   0.0000 μB per atom
Uncorrected energy   -5.4713 eV/atom


Entry 18:
Density functional theory data (PBE-GGA) for a geometry-optimized Y4ErGe4 structure.

a = 9.0793 Å, b = 9.0793 Å, c = 5.8359 Å
α = 90.00°, β = 90.00°, γ = 90.00°
Closest atoms and distances in Å follow each position.
Space group P4_2/n (No. 86, origin choice 2)
Symmetry-distinct sites (fractional):
Y (0.0734, 0.6599, 0.1336)  5 Ge 2.92-3.04
Er (0.2500, 0.2500, 0.2500)  4 Ge 2.82
Ge (0.0223, 0.6212, 0.6323)  1 Ge 2.72, 1 Er 2.82, 5 Y 2.92-3.04

Calculated values
Calculated density   5.62 g/cm³
Formation energy   -611 meV per atom
M_tot   0.0000 μB per atom
Uncorrected energy   -6.0435 eV/atom


Entry 19:
Density functional theory data (PBE-GGA) for a geometry-optimized Sc2MnReGe structure.

a = 4.8862 Å, b = 4.8862 Å, c = 4.2021 Å
α = 90.00°, β = 90.00°, γ = 90.00°
Closest atoms and distances in Å follow each position.
Space group P4/mmm (No. 123)
Symmetry-distinct sites (fractional):
Sc (0.0000, 0.5000, 0.0000)  2 Ge 2.44
Mn (0.0000, 0.0000, 0.5000)  2 Ge 2.10
Re (0.5000, 0.5000, 0.5000)  8 Sc 3.22, 4 Mn 3.46
Ge (0.0000, 0.0000, 0.0000)  2 Mn 2.10

Calculated values
Calculated density   6.68 g/cm³
Formation energy   938 meV per atom
M_tot   0.0703 μB per atom
Uncorrected energy   -6.8416 eV/atom